[1]
Below is AlFeRh2 after structural relaxation, with properties calculated at the GGA-PBE level.

Uncorrected energy ... -53.0 eV/cell
Space-group type ... I-42d (122)
N(E_F) ... 4.12 states/eV/f.u.
Energy relative to the elements ... 0.10 eV per atom
V ... 121 Å³/cell
Total magnetization ... 3.037 μB/f.u.

Cell and atoms, written as CIF:
```
data_AlFeRh2
_chemical_formula_sum 'Al2 Fe2 Rh4'
_space_group_name_H-M_alt 'P 1'
_space_group_IT_number 1
_space_group_name_Hall 'P 1'
_cell_length_a 8.829
_cell_length_b 8.829
_cell_length_c 8.829
_cell_angle_alpha 155.15
_cell_angle_beta 155.15
_cell_angle_gamma 35.43
loop_
_atom_site_label
_atom_site_fract_x
_atom_site_fract_y
_atom_site_fract_z
Al1 0.000 0.000 0.000
Al2 0.750 0.250 0.500
Fe1 0.250 0.750 0.500
Fe2 0.500 0.500 0.000
Rh1 0.127 0.625 0.002
Rh2 0.375 0.377 0.502
Rh3 0.623 0.125 0.998
Rh4 0.875 0.873 0.498
```

[2]
Below is FeHg2Pt after structural relaxation, with properties calculated at the GGA-PBE level.

Uncorrected energy ... -26.4 eV/cell
Space-group type ... I-42d (122)
N(E_F) ... 3.17 states/eV/f.u.
Energy relative to the elements ... 0.48 eV per atom
V ... 156 Å³/cell
Total magnetization ... 2.954 μB/f.u.

Cell and atoms, written as CIF:
```
data_FeHg2Pt
_chemical_formula_sum 'Fe2 Hg4 Pt2'
_space_group_name_H-M_alt 'P 1'
_space_group_IT_number 1
_space_group_name_Hall 'P 1'
_cell_length_a 5.975
_cell_length_b 5.975
_cell_length_c 5.975
_cell_angle_alpha 102.48
_cell_angle_beta 102.48
_cell_angle_gamma 124.59
loop_
_atom_site_label
_atom_site_fract_x
_atom_site_fract_y
_atom_site_fract_z
Fe1 0.000 0.000 0.000
Fe2 0.750 0.250 0.500
Hg1 0.115 0.625 0.990
Hg2 0.375 0.365 0.490
Hg3 0.635 0.125 0.010
Hg4 0.875 0.885 0.510
Pt1 0.250 0.750 0.500
Pt2 0.500 0.500 0.000
```

[3]
Below is Th3Ga7Co2 after structural relaxation, with properties calculated at the GGA-PBE level.

Uncorrected energy ... -62.8 eV/cell
Space-group type ... Cmmm (65)
N(E_F) ... 11.85 states/eV/f.u.
Energy relative to the elements ... -0.43 eV per atom
V ... 240 Å³/cell
Total magnetization ... 0.000 μB/f.u.

Cell and atoms, written as CIF:
```
data_Th3Ga7Co2
_chemical_formula_sum 'Th3 Ga7 Co2'
_space_group_name_H-M_alt 'P 1'
_space_group_IT_number 1
_space_group_name_Hall 'P 1'
_cell_length_a 13.960
_cell_length_b 13.960
_cell_length_c 4.148
_cell_angle_alpha 90.00
_cell_angle_beta 90.00
_cell_angle_gamma 162.73
loop_
_atom_site_label
_atom_site_fract_x
_atom_site_fract_y
_atom_site_fract_z
Th1 0.000 0.000 0.000
Th2 0.175 0.825 0.000
Th3 0.825 0.175 0.000
Ga1 0.087 0.913 0.500
Ga2 0.275 0.725 0.500
Ga3 0.413 0.587 0.000
Ga4 0.500 0.500 0.500
Ga5 0.587 0.413 0.000
Ga6 0.725 0.275 0.500
Ga7 0.913 0.087 0.500
Co1 0.360 0.640 0.500
Co2 0.640 0.360 0.500
```

[4]
Below is CeScMo after structural relaxation, with properties calculated at the GGA-PBE level.

Uncorrected energy ... -90.5 eV/cell
ΔE to the lowest computed polymorph ... 0.0000 eV per atom
Space-group type ... Pnma (62)
N(E_F) ... 4.64 states/eV/f.u.
Energy relative to the elements ... 0.16 eV per atom
V ... 280 Å³/cell
Total magnetization ... 0.000 μB/f.u.

Cell and atoms, written as CIF:
```
data_CeScMo
_chemical_formula_sum 'Ce4 Sc4 Mo4'
_space_group_name_H-M_alt 'P 1'
_space_group_IT_number 1
_space_group_name_Hall 'P 1'
_cell_length_a 9.348
_cell_length_b 5.148
_cell_length_c 5.824
_cell_angle_alpha 90.00
_cell_angle_beta 90.00
_cell_angle_gamma 90.00
loop_
_atom_site_label
_atom_site_fract_x
_atom_site_fract_y
_atom_site_fract_z
Ce1 0.221 0.250 0.133
Ce2 0.279 0.750 0.633
Ce3 0.721 0.250 0.367
Ce4 0.779 0.750 0.867
Sc1 0.042 0.250 0.643
Sc2 0.458 0.750 0.143
Sc3 0.542 0.250 0.857
Sc4 0.958 0.750 0.357
Mo1 0.069 0.750 0.884
Mo2 0.431 0.250 0.384
Mo3 0.569 0.750 0.616
Mo4 0.931 0.250 0.116
```

[5]
Below is LaSmIrRu after structural relaxation, with properties calculated at the GGA-PBE level.

Uncorrected energy ... -29.2 eV/cell
Space-group type ... F-43m (216)
N(E_F) ... 2.67 states/eV/f.u.
Energy relative to the elements ... -0.35 eV per atom
V ... 88 Å³/cell
Total magnetization ... 0.000 μB/f.u.

Cell and atoms, written as CIF:
```
data_LaSmIrRu
_chemical_formula_sum 'La1 Sm1 Ir1 Ru1'
_space_group_name_H-M_alt 'P 1'
_space_group_IT_number 1
_space_group_name_Hall 'P 1'
_cell_length_a 4.998
_cell_length_b 4.998
_cell_length_c 4.998
_cell_angle_alpha 60.00
_cell_angle_beta 60.00
_cell_angle_gamma 60.00
loop_
_atom_site_label
_atom_site_fract_x
_atom_site_fract_y
_atom_site_fract_z
La1 0.000 0.000 0.000
Sm1 0.500 0.500 0.500
Ir1 0.250 0.250 0.250
Ru1 0.750 0.750 0.750
```

[6]
Below is Mg2CoCu after structural relaxation, with properties calculated at the GGA-PBE level.

Uncorrected energy ... -14.2 eV/cell
Space-group type ... P4/mmm (123)
N(E_F) ... 2.83 states/eV/f.u.
Energy relative to the elements ... 0.06 eV per atom
V ... 59 Å³/cell
Total magnetization ... 0.001 μB/f.u.

Cell and atoms, written as CIF:
```
data_Mg2CoCu
_chemical_formula_sum 'Mg2 Co1 Cu1'
_space_group_name_H-M_alt 'P 1'
_space_group_IT_number 1
_space_group_name_Hall 'P 1'
_cell_length_a 3.108
_cell_length_b 3.108
_cell_length_c 6.076
_cell_angle_alpha 90.00
_cell_angle_beta 90.00
_cell_angle_gamma 90.00
loop_
_atom_site_label
_atom_site_fract_x
_atom_site_fract_y
_atom_site_fract_z
Mg1 0.000 0.000 0.237
Mg2 0.000 0.000 0.763
Co1 0.500 0.500 0.000
Cu1 0.500 0.500 0.500
```

[7]
Below is AsOsRh2 after structural relaxation, with properties calculated at the GGA-PBE level.

Uncorrected energy ... -29.6 eV/cell
Space-group type ... P4/mmm (123)
N(E_F) ... 4.80 states/eV/f.u.
Energy relative to the elements ... 0.25 eV per atom
V ... 60 Å³/cell
Total magnetization ... 0.000 μB/f.u.

Cell and atoms, written as CIF:
```
data_AsOsRh2
_chemical_formula_sum 'As1 Os1 Rh2'
_space_group_name_H-M_alt 'P 1'
_space_group_IT_number 1
_space_group_name_Hall 'P 1'
_cell_length_a 4.656
_cell_length_b 4.656
_cell_length_c 2.748
_cell_angle_alpha 90.00
_cell_angle_beta 90.00
_cell_angle_gamma 90.00
loop_
_atom_site_label
_atom_site_fract_x
_atom_site_fract_y
_atom_site_fract_z
As1 0.000 0.000 0.000
Os1 0.500 0.500 0.000
Rh1 0.000 0.500 0.500
Rh2 0.500 0.000 0.500
```

[8]
Below is FeTeIr2 after structural relaxation, with properties calculated at the GGA-PBE level.

Uncorrected energy ... -27.5 eV/cell
Space-group type ... F-43m (216)
N(E_F) ... 4.18 states/eV/f.u.
Formation energy (no corrections) ... 45 kJ/mol of atoms
V ... 64 Å³/cell
Total magnetization ... 2.969 μB/f.u.

Cell and atoms, written as CIF:
```
data_FeTeIr2
_chemical_formula_sum 'Fe1 Te1 Ir2'
_space_group_name_H-M_alt 'P 1'
_space_group_IT_number 1
_space_group_name_Hall 'P 1'
_cell_length_a 4.489
_cell_length_b 4.489
_cell_length_c 4.489
_cell_angle_alpha 60.00
_cell_angle_beta 60.00
_cell_angle_gamma 60.00
loop_
_atom_site_label
_atom_site_fract_x
_atom_site_fract_y
_atom_site_fract_z
Fe1 0.000 0.000 0.000
Te1 0.250 0.250 0.250
Ir1 0.500 0.500 0.500
Ir2 0.750 0.750 0.750
```

[9]
Below is PaNb2TcC4 after structural relaxation, with properties calculated at the GGA-PBE level.

Uncorrected energy ... -157.4 eV/cell
Space-group type ... Cmcm (63)
N(E_F) ... 4.12 states/eV/f.u.
Energy relative to the elements ... -0.23 eV per atom
V ... 206 Å³/cell
Total magnetization ... 0.000 μB/f.u.

Cell and atoms, written as CIF:
```
data_PaNb2TcC4
_chemical_formula_sum 'Pa2 Nb4 Tc2 C8'
_space_group_name_H-M_alt 'P 1'
_space_group_IT_number 1
_space_group_name_Hall 'P 1'
_cell_length_a 5.928
_cell_length_b 5.928
_cell_length_c 11.090
_cell_angle_alpha 90.00
_cell_angle_beta 90.00
_cell_angle_gamma 148.09
loop_
_atom_site_label
_atom_site_fract_x
_atom_site_fract_y
_atom_site_fract_z
Pa1 0.108 0.892 0.750
Pa2 0.892 0.108 0.250
Nb1 0.372 0.628 0.539
Nb2 0.372 0.628 0.961
Nb3 0.628 0.372 0.039
Nb4 0.628 0.372 0.461
Tc1 0.153 0.847 0.250
Tc2 0.847 0.153 0.750
C1 0.000 0.000 0.000
C2 0.000 0.000 0.500
C3 0.268 0.732 0.117
C4 0.268 0.732 0.383
C5 0.450 0.550 0.750
C6 0.550 0.450 0.250
C7 0.732 0.268 0.617
C8 0.732 0.268 0.883
```

[10]
Below is MgMo2Pb after structural relaxation, with properties calculated at the GGA-PBE level.

Uncorrected energy ... -24.9 eV/cell
ΔE to the lowest computed polymorph ... 0.2285 eV per atom
Space-group type ... C2/m (12)
N(E_F) ... 2.63 states/eV/f.u.
Energy relative to the elements ... 0.51 eV per atom
V ... 79 Å³/cell
Total magnetization ... 0.000 μB/f.u.

Cell and atoms, written as CIF:
```
data_MgMo2Pb
_chemical_formula_sum 'Mg1 Mo2 Pb1'
_space_group_name_H-M_alt 'P 1'
_space_group_IT_number 1
_space_group_name_Hall 'P 1'
_cell_length_a 5.238
_cell_length_b 5.238
_cell_length_c 4.926
_cell_angle_alpha 100.33
_cell_angle_beta 100.33
_cell_angle_gamma 36.48
loop_
_atom_site_label
_atom_site_fract_x
_atom_site_fract_y
_atom_site_fract_z
Mg1 0.000 0.000 0.000
Mo1 0.249 0.249 0.809
Mo2 0.751 0.751 0.191
Pb1 0.500 0.500 0.500
```